--- i ---
VASP calculation (PBE) on a relaxed structure of Zn3HPd.

CIF file:
```
data_Zn3HPd
_chemical_formula_sum 'Zn3 H1 Pd1'
_cell_length_a 4.852
_cell_length_b 4.852
_cell_length_c 4.852
_cell_angle_alpha 90.00
_cell_angle_beta 90.00
_cell_angle_gamma 90.00
_symmetry_space_group_name_H-M 'P m -3 m'
_symmetry_Int_Tables_number 221
_symmetry_space_group_name_Hall '-P 4 2 3'
loop_
_atom_site_label
_atom_site_type_symbol
_atom_site_fract_x
_atom_site_fract_y
_atom_site_fract_z
_atom_site_occupancy
Zn1 Zn 0.000 0.000 0.500 1
H1 H 0.500 0.500 0.500 1
Pd1 Pd 0.000 0.000 0.000 1
```



--- ii ---
VASP calculation (PBE) on a relaxed structure of Zn3HPd.

CIF file:
```
data_Zn3HPd
_chemical_formula_sum 'Zn3 H1 Pd1'
_cell_length_a 3.929
_cell_length_b 3.929
_cell_length_c 3.929
_cell_angle_alpha 90.00
_cell_angle_beta 90.00
_cell_angle_gamma 90.00
_symmetry_space_group_name_H-M 'P m -3 m'
_symmetry_Int_Tables_number 221
_symmetry_space_group_name_Hall '-P 4 2 3'
loop_
_atom_site_label
_atom_site_type_symbol
_atom_site_fract_x
_atom_site_fract_y
_atom_site_fract_z
_atom_site_occupancy
Zn1 Zn 0.000 0.000 0.500 1
H1 H 0.000 0.000 0.000 1
Pd1 Pd 0.500 0.500 0.500 1
```



Going by the computed energies, the most stable comes first: ii, i.



--- i ---
VASP calculation (PBE) on a relaxed structure of Zn2HPd.

CIF file:
```
data_Zn2HPd
_chemical_formula_sum 'Zn8 H4 Pd4'
_cell_length_a 6.086
_cell_length_b 6.086
_cell_length_c 5.271
_cell_angle_alpha 90.00
_cell_angle_beta 90.00
_cell_angle_gamma 90.00
_symmetry_space_group_name_H-M 'I -4 2 d'
_symmetry_Int_Tables_number 122
_symmetry_space_group_name_Hall 'I -4 2bw'
loop_
_atom_site_label
_atom_site_type_symbol
_atom_site_fract_x
_atom_site_fract_y
_atom_site_fract_z
_atom_site_occupancy
Zn1 Zn 0.169 0.250 0.125 1
H1 H 0.000 0.000 0.000 1
Pd1 Pd 0.000 0.000 0.500 1
```



--- ii ---
VASP calculation (PBE) on a relaxed structure of Zn2HPd.

CIF file:
```
data_Zn2HPd
_chemical_formula_sum 'Zn8 H4 Pd4'
_cell_length_a 5.966
_cell_length_b 5.966
_cell_length_c 5.966
_cell_angle_alpha 90.00
_cell_angle_beta 90.00
_cell_angle_gamma 90.00
_symmetry_space_group_name_H-M 'F m -3 m'
_symmetry_Int_Tables_number 225
_symmetry_space_group_name_Hall '-F 4 2 3'
loop_
_atom_site_label
_atom_site_type_symbol
_atom_site_fract_x
_atom_site_fract_y
_atom_site_fract_z
_atom_site_occupancy
Zn1 Zn 0.250 0.250 0.250 1
H1 H 0.000 0.000 0.000 1
Pd1 Pd 0.000 0.000 0.500 1
```



Going by the computed energies, the most stable comes first: i, ii.



--- i ---
VASP calculation (PBE) on a relaxed structure of ZnH3Pd3.

CIF file:
```
data_ZnH3Pd3
_chemical_formula_sum 'Zn2 H6 Pd6'
_cell_length_a 7.6115
_cell_length_b 7.6115
_cell_length_c 2.9369
_cell_angle_alpha 90.00
_cell_angle_beta 90.00
_cell_angle_gamma 120.00
_symmetry_space_group_name_H-M 'P 63/m'
_symmetry_Int_Tables_number 176
_symmetry_space_group_name_Hall '-P 6c'
loop_
_atom_site_label
_atom_site_type_symbol
_atom_site_fract_x
_atom_site_fract_y
_atom_site_fract_z
_atom_site_occupancy
Zn1 Zn 0.3333 0.6667 0.2500 1
H1 H 0.0472 0.2537 0.7500 1
Pd1 Pd 0.0488 0.6834 0.7500 1
```



--- ii ---
VASP calculation (PBE) on a relaxed structure of ZnH3Pd3.

CIF file:
```
data_ZnH3Pd3
_chemical_formula_sum 'Zn2 H6 Pd6'
_cell_length_a 5.267
_cell_length_b 5.267
_cell_length_c 5.267
_cell_angle_alpha 90.00
_cell_angle_beta 90.00
_cell_angle_gamma 90.00
_symmetry_space_group_name_H-M 'P m -3 n'
_symmetry_Int_Tables_number 223
_symmetry_space_group_name_Hall '-P 4n 2 3'
loop_
_atom_site_label
_atom_site_type_symbol
_atom_site_fract_x
_atom_site_fract_y
_atom_site_fract_z
_atom_site_occupancy
Zn1 Zn 0.000 0.000 0.000 1
H1 H 0.000 0.250 0.500 1
Pd1 Pd 0.000 0.500 0.250 1
```



Going by the computed energies, the most stable comes first: i, ii.



--- i ---
VASP calculation (PBE) on a relaxed structure of ZnHPd4.

CIF file:
```
data_ZnHPd4
_chemical_formula_sum 'Zn4 H4 Pd16'
_cell_length_a 7.282
_cell_length_b 7.282
_cell_length_c 6.884
_cell_angle_alpha 90.00
_cell_angle_beta 90.00
_cell_angle_gamma 90.00
_symmetry_space_group_name_H-M 'I 41 m d'
_symmetry_Int_Tables_number 109
_symmetry_space_group_name_Hall 'I 4bw -2'
loop_
_atom_site_label
_atom_site_type_symbol
_atom_site_fract_x
_atom_site_fract_y
_atom_site_fract_z
_atom_site_occupancy
Zn1 Zn 0.000 0.000 0.000 1
H1 H 0.000 0.000 0.431 1
Pd1 Pd 0.000 0.296 0.531 1
Pd2 Pd 0.000 0.316 0.936 1
```



--- ii ---
VASP calculation (PBE) on a relaxed structure of ZnHPd4.

CIF file:
```
data_ZnHPd4
_chemical_formula_sum 'Zn2 H2 Pd8'
_cell_length_a 4.366
_cell_length_b 5.408
_cell_length_c 7.100
_cell_angle_alpha 90.00
_cell_angle_beta 107.47
_cell_angle_gamma 90.00
_symmetry_space_group_name_H-M 'P 1 21 1'
_symmetry_Int_Tables_number 4
_symmetry_space_group_name_Hall 'P 2yb'
loop_
_atom_site_label
_atom_site_type_symbol
_atom_site_fract_x
_atom_site_fract_y
_atom_site_fract_z
_atom_site_occupancy
Zn1 Zn 0.099 0.000 0.206 1
H1 H 0.462 0.978 0.798 1
Pd1 Pd 0.099 0.491 0.201 1
Pd2 Pd 0.279 0.784 0.572 1
Pd3 Pd 0.328 0.292 0.649 1
Pd4 Pd 0.484 0.683 0.962 1
```



Going by the computed energies, the most stable comes first: ii, i.